[1]
# ZrBeBIr

A relaxed ZrBeBIr crystal (PBE, OQMD).

abc: 4.242 4.242 4.242
angles: 60.00 60.00 60.00
Fractional coordinates of all 4 atoms:
Ir  0.500  0.500  0.500
B  0.000  0.000  0.000
Zr  0.250  0.250  0.250
Be  0.750  0.750  0.750

Uncorrected energy ... -27.384 eV/cell
Energy relative to the lowest polymorph listed for this composition ... 384 meV/atom

---

[2]
# LiPrTe

A relaxed LiPrTe crystal (PBE, OQMD).

abc: 5.142 5.142 5.142
angles: 60.00 60.00 60.00
Fractional coordinates of all 3 atoms:
Te  0.750  0.750  0.750
Pr  0.000  0.000  0.000
Li  0.250  0.250  0.250

Uncorrected energy ... -11.101 eV/cell
Energy relative to the lowest polymorph listed for this composition ... 578 meV/atom